Entry 1:
Sc2ReNi | PBE | relaxed

## Properties
* M_tot: 0.000 μB per atom
* calculated total energy: -7.836 eV per atom
* DFT formation energy: -10.9 kJ per mole of atoms
* crystal system: monoclinic

Unit cell a=10.3046 b=3.0005 c=4.7646 alpha=90.00 beta=112.27 gamma=90.00
With the nearest neighbours (Å) after each atom.
Space group Cm (No. 8)
One atom of each set of equivalent atoms:
Sc 0.0000 0.0000 0.0000 x2  4 Ni 2.69-2.99, 3 Re 2.89-2.92, 3 Sc 3.00
Sc 0.2076 0.0000 0.6428 x2  3 Ni 2.78-2.95, 4 Re 2.84-2.89, 3 Sc 3.00
Re 0.2623 0.5000 0.1821 x2  2 Ni 2.56, 2 Sc 2.84
Ni 0.4642 0.0000 0.5088 x2  2 Re 2.56, 4 Sc 2.69-2.78

Entry 2:
ScReNi2 | PBE | relaxed

## Properties
* M_tot: 0.268 μB per atom
* calculated total energy: -7.613 eV per atom
* DFT formation energy: -2.6 kJ per mole of atoms
* crystal system: tetragonal
* E above lowest polymorph: 42.4 kJ/mol of formula units

Unit cell a=3.9582 b=3.9582 c=3.5728 alpha=90.00 beta=90.00 gamma=90.00
With the nearest neighbours (Å) after each atom.
Space group P4/mmm (No. 123)
One atom of each set of equivalent atoms:
Sc 0.0000 0.0000 0.0000 x1  8 Ni 2.67, 4 Re 2.80
Re 0.5000 0.5000 0.0000 x1  8 Ni 2.67, 4 Sc 2.80
Ni 0.0000 0.5000 0.5000 x2  4 Re 2.67, 4 Sc 2.67, 4 Ni 2.80

Entry 3:
ScReNi2Se | PBE | relaxed

## Properties
* M_tot: 0.000 μB per atom
* E_form (uncorrected): 0.85 eV/atom
* calculated total energy: -5.920 eV per atom
* crystal system: tetragonal

Unit cell a=4.4766 b=4.4766 c=5.1953 alpha=90.00 beta=90.00 gamma=90.00
With the nearest neighbours (Å) after each atom.
Space group P4/mmm (No. 123)
One atom of each set of equivalent atoms:
Sc 0.0000 0.0000 0.0000 x1  2 Re 2.60
Re 0.0000 0.0000 0.5000 x1  4 Ni 2.24
Ni 0.0000 0.5000 0.5000 x2  2 Re 2.24
Se 0.5000 0.5000 0.0000 x1  4 Sc 3.17, 8 Ni 3.43

Entry 4:
ScRe2TcNi | PBE | relaxed

## Properties
* M_tot: 0.035 μB per atom
* calculated total energy: -7.878 eV per atom
* DFT formation energy: 154.1 kJ per mole of atoms
* crystal system: tetragonal

Unit cell a=4.6426 b=4.6426 c=4.8219 alpha=90.00 beta=90.00 gamma=90.00
With the nearest neighbours (Å) after each atom.
Space group P4/mmm (No. 123)
One atom of each set of equivalent atoms:
Sc 0.0000 0.0000 0.0000 x1  2 Tc 2.41
Re 0.0000 0.5000 0.5000 x2  2 Tc 2.32
Tc 0.0000 0.0000 0.5000 x1  4 Re 2.32, 2 Sc 2.41
Ni 0.5000 0.5000 0.0000 x1  4 Sc 3.28, 8 Re 3.35